VASP calculation (PBE) on a geometry-optimized CaPaPN4 structure.

The structure belongs to space group P2_1/m (No. 11); the cell edges are 5.494, 5.445 and 6.738 Å and the angles 90.00°, 105.01° and 90.00°. The asymmetric unit holds Ca at (0.204, 0.250, 0.421), Pa at (0.269, 0.250, 0.946), P at (0.261, 0.750, 0.189), N at (0.063, 0.750, 0.335), N at (0.083, 0.750, 0.944) and N at (0.452, 0.512, 0.218).

As for the uncorrected formation energy: -1.1488 eV per atom. The magnetization comes out at 0.0000 μB/atom. The calculation puts the total energy at -116.5 eV for the cell shown.